The following is a PBE-GGA calculation of an optimized crystal structure of Ac3Pm4Pb4, from Alexandria via LeMat-Bulk.

Results
Fermi-level density of states in states/eV/f.u.: 9.90
E_form in eV/atom: -0.4223
Crystal system: orthorhombic
Symmetry: Immm
Total magnetic moment in μB/f.u.: 4.2

Lattice parameters (Å, degrees): 10.384 10.384 10.384 154.49 123.49 62.98
Fractional coordinates of all 11 atoms:
Ac (0.000, 0.000, 0.000)
Ac (0.391, 0.891, 0.500)
Ac (0.609, 0.109, 0.500)
Pm (0.022, 0.327, 0.695)
Pm (0.367, 0.673, 0.695)
Pm (0.633, 0.327, 0.305)
Pm (0.978, 0.673, 0.305)
Pb (0.241, 0.241, 0.000)
Pb (0.284, 0.500, 0.784)
Pb (0.716, 0.500, 0.216)
Pb (0.759, 0.759, 0.000)